Below is Ho6ZnCu5 after structural relaxation, with properties calculated at the GGA-PBE level.

Values from the calculation:
Energy of formation from the pure elements   -279 meV/atom
Size of the total moment   0.0 μB/cell

Unit cell a=4.9121 b=6.9199 c=7.7579 alpha=90.01 beta=71.50 gamma=90.02
Fractional coordinates of all 12 atoms:
Cu1 0.3340 0.5000 0.3320
Cu2 0.6619 0.0000 0.6742
Cu3 0.3381 0.0000 0.3258
Cu4 0.0000 0.5000 0.0000
Cu5 0.6660 0.5000 0.6680
Ho1 0.1686 0.2519 0.6627
Ho2 0.8314 0.2519 0.3373
Ho3 0.5000 0.7450 0.0000
Ho4 0.8314 0.7481 0.3373
Ho5 0.5000 0.2550 0.0000
Ho6 0.1686 0.7481 0.6627
Zn1 0.0000 0.0000 0.0000

=====

Below is HoZn5Cu7 after structural relaxation, with properties calculated at the GGA-PBE level.

Values from the calculation:
Energy of formation from the pure elements   -129 meV/atom
Size of the total moment   0.0 μB/cell

Unit cell a=4.9598 b=6.5932 c=6.5932 alpha=82.02 beta=67.91 gamma=67.91
Fractional coordinates of all 13 atoms:
Cu1 0.3516 0.6484 0.6484
Cu2 0.5011 0.2182 0.7796
Cu3 0.2826 0.2174 0.2174
Cu4 0.6428 0.3572 0.3572
Cu5 0.0019 0.6440 0.3521
Cu6 0.0019 0.3521 0.6440
Cu7 0.5011 0.7796 0.2182
Zn1 0.5004 0.4954 0.0021
Zn2 0.7182 0.7818 0.7818
Zn3 0.0021 0.4954 0.0021
Zn4 0.0021 0.0021 0.4954
Zn5 0.5004 0.0021 0.4954
Ho1 0.9937 0.0063 0.0063

=====

Below is Ho3ZnCu2 after structural relaxation, with properties calculated at the GGA-PBE level.

Values from the calculation:
Energy above the most stable polymorph in this dataset   3.4 meV per atom
Energy of formation from the pure elements   -289 meV/atom
Size of the total moment   0.0 μB/cell

Unit cell a=4.9310 b=4.9310 c=12.0565 alpha=90.00 beta=90.00 gamma=120.00
Fractional coordinates of all 12 atoms:
Cu1 0.0000 0.0000 0.0000
Cu2 0.0000 0.0000 0.5000
Cu3 0.3333 0.6667 0.1719
Cu4 0.6667 0.3333 0.8281
Ho1 0.6667 0.3333 0.5829
Ho2 0.0000 0.0000 0.7547
Ho3 0.3333 0.6667 0.9210
Ho4 0.3333 0.6667 0.4171
Ho5 0.0000 0.0000 0.2453
Ho6 0.6667 0.3333 0.0790
Zn1 0.3333 0.6667 0.6700
Zn2 0.6667 0.3333 0.3300